1.
DFT (GGA-PBE) results for a relaxed SrMn2P crystal. Values from VASP.

Computed properties:
ΔE_f ... 0.37 eV per atom
Space group ... No. 123

The structure in Quantum ESPRESSO input format:
```
&SYSTEM
  ibrav = 0, nat = 4, ntyp = 3
/
ATOMIC_SPECIES
Mn 54.94 Mn.upf
P 30.97 P.upf
Sr 87.62 Sr.upf
CELL_PARAMETERS angstrom
4.227 0.000 0.000
0.000 4.227 0.000
0.000 0.000 4.585
ATOMIC_POSITIONS angstrom
Mn 2.113 2.113 0.000
Mn 0.000 0.000 0.000
P 2.113 0.000 2.293
Sr 0.000 2.113 2.293
```

=====

2.
DFT (GGA-PBE) results for a relaxed SrMnP crystal. Values from VASP.

Computed properties:
ΔE_f ... -0.72 eV per atom
Space group ... No. 129

The structure in Quantum ESPRESSO input format:
```
&SYSTEM
  ibrav = 0, nat = 6, ntyp = 3
/
ATOMIC_SPECIES
Sr 87.62 Sr.upf
P 30.97 P.upf
Mn 54.94 Mn.upf
CELL_PARAMETERS angstrom
-0.758 -2.347 2.881
3.478 -1.485 -0.295
3.225 6.358 6.029
ATOMIC_POSITIONS angstrom
Sr 1.317 0.299 1.838
Sr 4.628 2.228 6.777
P 3.198 -0.591 4.105
P 2.747 3.117 4.510
Mn 1.914 1.047 5.101
Mn 4.032 1.479 3.513
```

=====

3.
DFT (GGA-PBE) results for a relaxed SrMn2P crystal. Values from VASP.

Computed properties:
ΔE_f ... 0.45 eV per atom
Space group ... No. 216

The structure in Quantum ESPRESSO input format:
```
&SYSTEM
  ibrav = 0, nat = 4, ntyp = 3
/
ATOMIC_SPECIES
Mn 54.94 Mn.upf
P 30.97 P.upf
Sr 87.62 Sr.upf
CELL_PARAMETERS angstrom
-2.553 0.990 -3.970
1.535 -1.548 -4.302
-2.374 -3.524 -2.282
ATOMIC_POSITIONS angstrom
Mn -2.544 -3.062 -7.916
Mn 0.000 0.000 0.000
P -1.696 -2.041 -5.277
Sr -0.848 -1.021 -2.639
```

=====

4.
DFT (GGA-PBE) results for a relaxed SrMnP crystal. Values from VASP.

Computed properties:
ΔE_f ... -0.17 eV per atom
Space group ... No. 216

The structure in Quantum ESPRESSO input format:
```
&SYSTEM
  ibrav = 0, nat = 3, ntyp = 3
/
ATOMIC_SPECIES
Mn 54.94 Mn.upf
Sr 87.62 Sr.upf
P 30.97 P.upf
CELL_PARAMETERS angstrom
0.000 3.305 3.305
3.305 0.000 3.305
3.305 3.305 0.000
ATOMIC_POSITIONS angstrom
Mn 3.305 3.305 3.305
Sr 0.000 0.000 0.000
P 1.653 1.653 1.653
```

=====

5.
DFT (GGA-PBE) results for a relaxed SrMnP crystal. Values from VASP.

Computed properties:
ΔE_f ... -0.54 eV per atom
Space group ... No. 187

The structure in Quantum ESPRESSO input format:
```
&SYSTEM
  ibrav = 0, nat = 3, ntyp = 3
/
ATOMIC_SPECIES
Sr 87.62 Sr.upf
Mn 54.94 Mn.upf
P 30.97 P.upf
CELL_PARAMETERS angstrom
-3.757 -1.528 -0.963
2.456 -2.041 2.680
-1.834 2.333 3.457
ATOMIC_POSITIONS angstrom
Sr -0.532 -0.703 3.194
Mn 0.000 0.000 0.000
P -1.686 -1.699 0.252
```

=====

6.
DFT (GGA-PBE) results for a relaxed SrMn2P crystal. Values from VASP.

Computed properties:
ΔE_f ... 0.17 eV per atom
Space group ... No. 71

The structure in Quantum ESPRESSO input format:
```
&SYSTEM
  ibrav = 0, nat = 4, ntyp = 3
/
ATOMIC_SPECIES
Mn 54.94 Mn.upf
P 30.97 P.upf
Sr 87.62 Sr.upf
CELL_PARAMETERS angstrom
-4.541 0.246 3.513
-5.110 -0.898 -2.471
5.186 -2.116 1.286
ATOMIC_POSITIONS angstrom
Mn -4.238 -0.286 0.458
Mn -0.588 -0.040 0.063
P -2.375 -1.670 -0.332
Sr -2.091 -1.098 2.660
```

=====

7.
DFT (GGA-PBE) results for a relaxed SrMnP2 crystal. Values from VASP.

Computed properties:
ΔE_f ... -0.60 eV per atom
Polymorph energy (0 for the lowest one) ... 0 meV per atom
Space group ... No. 166

The structure in Quantum ESPRESSO input format:
```
&SYSTEM
  ibrav = 0, nat = 4, ntyp = 3
/
ATOMIC_SPECIES
P 30.97 P.upf
Sr 87.62 Sr.upf
Mn 54.94 Mn.upf
CELL_PARAMETERS angstrom
-3.766 -0.310 -0.600
-1.308 -2.147 -2.885
-1.881 -5.755 2.603
ATOMIC_POSITIONS angstrom
P -3.462 -3.719 -0.735
P -5.090 -2.843 -3.190
Sr -5.217 -6.159 -0.661
Mn -1.739 -2.053 -0.220
```

=====

8.
DFT (GGA-PBE) results for a relaxed Sr2MnP crystal. Values from VASP.

Computed properties:
ΔE_f ... 0.08 eV per atom
Space group ... No. 99

The structure in Quantum ESPRESSO input format:
```
&SYSTEM
  ibrav = 0, nat = 4, ntyp = 3
/
ATOMIC_SPECIES
Mn 54.94 Mn.upf
Sr 87.62 Sr.upf
P 30.97 P.upf
CELL_PARAMETERS angstrom
-4.209 -0.284 -0.911
0.954 -1.317 -3.998
-0.023 -6.108 2.006
ATOMIC_POSITIONS angstrom
Mn -0.011 -2.867 0.942
Sr -0.021 -5.647 1.855
Sr -1.635 -2.722 -1.823
P -1.646 -5.632 -0.867
```

=====

9.
DFT (GGA-PBE) results for a relaxed SrMn3P2 crystal. Values from VASP.

Computed properties:
ΔE_f ... -0.57 eV per atom
Space group ... No. 12

The structure in Quantum ESPRESSO input format:
```
&SYSTEM
  ibrav = 0, nat = 12, ntyp = 3
/
ATOMIC_SPECIES
P 30.97 P.upf
Sr 87.62 Sr.upf
Mn 54.94 Mn.upf
CELL_PARAMETERS angstrom
-1.176 1.726 3.166
-4.941 2.413 -5.422
-1.780 -6.655 2.966
ATOMIC_POSITIONS angstrom
P -6.636 -2.078 -1.332
P -3.301 -3.155 0.494
P -4.596 0.638 0.217
P -1.261 -0.439 2.043
Sr -6.209 -3.078 1.644
Sr -1.688 0.561 -0.933
Mn -4.454 -1.569 -0.799
Mn -2.608 -2.819 2.840
Mn -5.289 0.302 -2.129
Mn -6.672 -0.135 -0.133
Mn -1.225 -2.382 0.843
Mn -3.443 -0.948 1.510
```

=====

10.
DFT (GGA-PBE) results for a relaxed Sr3MnP crystal. Values from VASP.

Computed properties:
ΔE_f ... -0.08 eV per atom
Polymorph energy (0 for the lowest one) ... 0 meV per atom
Space group ... No. 221

The structure in Quantum ESPRESSO input format:
```
&SYSTEM
  ibrav = 0, nat = 5, ntyp = 3
/
ATOMIC_SPECIES
Sr 87.62 Sr.upf
Mn 54.94 Mn.upf
P 30.97 P.upf
CELL_PARAMETERS angstrom
5.867 0.000 0.000
0.000 5.867 0.000
0.000 0.000 5.867
ATOMIC_POSITIONS angstrom
Sr 0.000 2.934 0.000
Sr 0.000 0.000 2.934
Sr 2.934 0.000 0.000
Mn 2.934 2.934 2.934
P 0.000 0.000 0.000
```

=====

11.
DFT (GGA-PBE) results for a relaxed Sr2MnP crystal. Values from VASP.

Computed properties:
ΔE_f ... 0.13 eV per atom
Space group ... No. 122

The structure in Quantum ESPRESSO input format:
```
&SYSTEM
  ibrav = 0, nat = 8, ntyp = 3
/
ATOMIC_SPECIES
Mn 54.94 Mn.upf
Sr 87.62 Sr.upf
P 30.97 P.upf
CELL_PARAMETERS angstrom
8.411 0.000 0.000
0.000 8.411 0.000
4.205 4.205 3.774
ATOMIC_POSITIONS angstrom
Mn 8.411 4.205 1.887
Mn 0.000 0.000 0.000
Sr 6.308 6.652 2.831
Sr 5.964 2.103 0.944
Sr 2.447 6.308 0.944
Sr 10.514 10.170 2.831
P 4.205 4.205 0.000
P 4.205 8.411 1.887
```

=====

12.
DFT (GGA-PBE) results for a relaxed SrMnP2 crystal. Values from VASP.

Computed properties:
ΔE_f ... 0.35 eV per atom
Polymorph energy (0 for the lowest one) ... 950 meV per atom
Space group ... No. 216

The structure in Quantum ESPRESSO input format:
```
&SYSTEM
  ibrav = 0, nat = 4, ntyp = 3
/
ATOMIC_SPECIES
P 30.97 P.upf
Sr 87.62 Sr.upf
Mn 54.94 Mn.upf
CELL_PARAMETERS angstrom
-4.618 -0.204 -1.368
-2.284 -4.242 -0.149
-3.429 -1.006 3.234
ATOMIC_POSITIONS angstrom
P -7.748 -4.089 1.288
P 0.000 0.000 0.000
Sr -2.583 -1.363 0.429
Mn -5.165 -2.726 0.859
```

=====

> What is the formula in the sixth record?

SrMn2P

=====

Repeat the seventh record exactly.
DFT (GGA-PBE) results for a relaxed SrMnP2 crystal. Values from VASP.

Computed properties:
ΔE_f ... -0.60 eV per atom
Polymorph energy (0 for the lowest one) ... 0 meV per atom
Space group ... No. 166

The structure in Quantum ESPRESSO input format:
```
&SYSTEM
  ibrav = 0, nat = 4, ntyp = 3
/
ATOMIC_SPECIES
P 30.97 P.upf
Sr 87.62 Sr.upf
Mn 54.94 Mn.upf
CELL_PARAMETERS angstrom
-3.766 -0.310 -0.600
-1.308 -2.147 -2.885
-1.881 -5.755 2.603
ATOMIC_POSITIONS angstrom
P -3.462 -3.719 -0.735
P -5.090 -2.843 -3.190
Sr -5.217 -6.159 -0.661
Mn -1.739 -2.053 -0.220
```